Record 1
# KRu2F, relaxed, DFT PBE-GGA
data_KRu2F
_chemical_formula_sum 'K4 Ru8 F4'
_space_group_name_H-M_alt 'I -4 2 d'
_space_group_IT_number 122
_space_group_name_Hall 'I -4 2bw'
_cell_length_a 4.574
_cell_length_b 4.574
_cell_length_c 17.655
_cell_angle_alpha 90.00
_cell_angle_beta 90.00
_cell_angle_gamma 90.00
loop_
_atom_site_label
_atom_site_type_symbol
_atom_site_fract_x
_atom_site_fract_y
_atom_site_fract_z
_atom_site_occupancy
K1 K 0.000 0.000 0.000 1
Ru1 Ru 0.010 0.250 0.625 1
F1 F 0.000 0.000 0.500 1
# Density in g cm⁻³: 4.68
# V in Å³/cell: 369
# Final energy in eV per cell: -75.766
# Magnetization in μB per cell: 5.32
# Formation energy (no corrections) in kJ/mol of atoms: 62.2
# Energy above the most stable polymorph in this dataset in meV/atom: 0

Record 2
# K2RuF8, relaxed, DFT PBE-GGA
data_K2RuF8
_chemical_formula_sum 'K4 Ru2 F16'
_space_group_name_H-M_alt 'C 1 2/m 1'
_space_group_IT_number 12
_cell_length_a 11.110
_cell_length_b 8.125
_cell_length_c 5.034
_cell_angle_alpha 90.00
_cell_angle_beta 113.50
_cell_angle_gamma 90.00
loop_
_space_group_symop_operation_xyz
'x,y,z'
'-x,-y,-z'
'-x,y,-z'
'x,-y,z'
'x+1/2,y+1/2,z'
'-x+1/2,-y+1/2,-z'
'-x+1/2,y+1/2,-z'
'x+1/2,-y+1/2,z'
loop_
_atom_site_label
_atom_site_type_symbol
_atom_site_fract_x
_atom_site_fract_y
_atom_site_fract_z
_atom_site_occupancy
K1 K 0.170 0.000 0.307 1
Ru1 Ru 0.000 0.500 0.000 1
F1 F 0.070 0.000 0.703 1
F2 F 0.107 0.500 0.787 1
F3 F 0.111 0.335 0.246 1
# Density in g cm⁻³: 2.64
# V in Å³/cell: 417
# Final energy in eV per cell: -97.812
# Magnetization in μB per cell: 8.05
# Formation energy (no corrections) in kJ/mol of atoms: -197.0

Record 3
# K5Ru2F12, relaxed, DFT PBE-GGA
data_K5Ru2F12
_chemical_formula_sum 'K5 Ru2 F12'
_space_group_name_H-M_alt 'P -1'
_space_group_IT_number 2
_cell_length_a 6.856
_cell_length_b 7.115
_cell_length_c 8.153
_cell_angle_alpha 88.08
_cell_angle_beta 89.94
_cell_angle_gamma 61.20
loop_
_space_group_symop_operation_xyz
'x,y,z'
'-x,-y,-z'
loop_
_atom_site_label
_atom_site_type_symbol
_atom_site_fract_x
_atom_site_fract_y
_atom_site_fract_z
_atom_site_occupancy
K1 K 0.000 0.000 0.000 1
K2 K 0.165 0.666 0.398 1
K3 K 0.411 0.179 0.209 1
Ru1 Ru 0.307 0.389 0.769 1
F1 F 0.001 0.399 0.310 1
F2 F 0.205 0.173 0.837 1
F3 F 0.245 0.515 0.982 1
F4 F 0.367 0.260 0.553 1
F5 F 0.375 0.827 0.167 1
F6 F 0.401 0.600 0.687 1
# Density in g cm⁻³: 2.98
# V in Å³/cell: 348
# Final energy in eV per cell: -90.710
# Magnetization in μB per cell: 3.00
# Formation energy (no corrections) in kJ/mol of atoms: -224.5

Record 4
# KRu2F, relaxed, DFT PBE-GGA
data_KRu2F
_chemical_formula_sum 'K4 Ru8 F4'
_space_group_name_H-M_alt 'F m -3 m'
_space_group_IT_number 225
_space_group_name_Hall '-F 4 2 3'
_cell_length_a 6.667
_cell_length_b 6.667
_cell_length_c 6.667
_cell_angle_alpha 90.00
_cell_angle_beta 90.00
_cell_angle_gamma 90.00
loop_
_atom_site_label
_atom_site_type_symbol
_atom_site_fract_x
_atom_site_fract_y
_atom_site_fract_z
_atom_site_occupancy
K1 K 0.000 0.000 0.000 1
Ru1 Ru 0.250 0.250 0.250 1
F1 F 0.000 0.000 0.500 1
# Density in g cm⁻³: 5.83
# V in Å³/cell: 296
# Final energy in eV per cell: -62.178
# Magnetization in μB per cell: 19.34
# Formation energy (no corrections) in kJ/mol of atoms: 144.1
# Energy above the most stable polymorph in this dataset in meV/atom: 849

Record 5
# K2RuF5, relaxed, DFT PBE-GGA
data_K2RuF5
_chemical_formula_sum 'K4 Ru2 F10'
_space_group_name_H-M_alt 'I 4 m m'
_space_group_IT_number 107
_space_group_name_Hall 'I 4 -2'
_cell_length_a 6.225
_cell_length_b 6.225
_cell_length_c 7.551
_cell_angle_alpha 90.00
_cell_angle_beta 90.00
_cell_angle_gamma 90.00
loop_
_atom_site_label
_atom_site_type_symbol
_atom_site_fract_x
_atom_site_fract_y
_atom_site_fract_z
_atom_site_occupancy
K1 K 0.000 0.500 0.000 1
Ru1 Ru 0.000 0.000 0.253 1
F1 F 0.000 0.000 0.995 1
F2 F 0.226 0.226 0.254 1
# Density in g cm⁻³: 3.11
# V in Å³/cell: 293
# Final energy in eV per cell: -75.306
# Magnetization in μB per cell: 2.01
# Formation energy (no corrections) in kJ/mol of atoms: -202.9

Record 6
# KRuF5, relaxed, DFT PBE-GGA
data_KRuF5
_chemical_formula_sum 'K4 Ru4 F20'
_space_group_name_H-M_alt 'C 1 2/c 1'
_space_group_IT_number 15
_cell_length_a 9.736
_cell_length_b 7.332
_cell_length_c 8.068
_cell_angle_alpha 90.00
_cell_angle_beta 112.06
_cell_angle_gamma 90.00
loop_
_space_group_symop_operation_xyz
'x,y,z'
'-x,-y,-z'
'-x,y,-z+1/2'
'x,-y,z+1/2'
'x+1/2,y+1/2,z'
'-x+1/2,-y+1/2,-z'
'-x+1/2,y+1/2,-z+1/2'
'x+1/2,-y+1/2,z+1/2'
loop_
_atom_site_label
_atom_site_type_symbol
_atom_site_fract_x
_atom_site_fract_y
_atom_site_fract_z
_atom_site_occupancy
K1 K 0.000 0.012 0.250 1
Ru1 Ru 0.000 0.500 0.000 1
F1 F 0.000 0.483 0.250 1
F2 F 0.024 0.237 0.999 1
F3 F 0.210 0.468 0.597 1
# Density in g cm⁻³: 2.93
# V in Å³/cell: 534
# Final energy in eV per cell: -137.726
# Magnetization in μB per cell: 9.37
# Formation energy (no corrections) in kJ/mol of atoms: -202.6

Q: Among the records above, which one has the highest formation energy (no corrections)?
A: number 4

Repeat the fifth record exactly.
# K2RuF5, relaxed, DFT PBE-GGA
data_K2RuF5
_chemical_formula_sum 'K4 Ru2 F10'
_space_group_name_H-M_alt 'I 4 m m'
_space_group_IT_number 107
_space_group_name_Hall 'I 4 -2'
_cell_length_a 6.225
_cell_length_b 6.225
_cell_length_c 7.551
_cell_angle_alpha 90.00
_cell_angle_beta 90.00
_cell_angle_gamma 90.00
loop_
_atom_site_label
_atom_site_type_symbol
_atom_site_fract_x
_atom_site_fract_y
_atom_site_fract_z
_atom_site_occupancy
K1 K 0.000 0.500 0.000 1
Ru1 Ru 0.000 0.000 0.253 1
F1 F 0.000 0.000 0.995 1
F2 F 0.226 0.226 0.254 1
# Density in g cm⁻³: 3.11
# V in Å³/cell: 293
# Final energy in eV per cell: -75.306
# Magnetization in μB per cell: 2.01
# Formation energy (no corrections) in kJ/mol of atoms: -202.9

Q: final energy of number 4 (KRu2F)?
A: -62.178 eV per cell

Q: V of number 2 (K2RuF8)?
A: 417 Å³/cell